Here is a relaxed structure of BeCoNO from OQMD. Energies are from GGA+U.

POSCAR file:
```
BeCoNO
1.0
3.029 0.000 0.000
0.000 5.245 0.000
0.000 0.000 4.417
Be Co N O
2 2 2 2
direct
0.000 0.157 0.000
0.000 0.843 0.500
0.500 0.343 0.484
0.500 0.657 0.984
0.500 0.309 0.911
0.500 0.691 0.411
0.000 0.132 0.368
0.000 0.868 0.868
```

Results
Offset from the most stable computed form in meV/atom: 0.0
Symmetry: Pmc2_1, No. 26
Raw total energy in eV/atom: -6.353